An optimized crystal structure of EuErGaAu, computed with PBE.

Output
- symmetry = F-43m, No. 216
- Fermi-level density of states (states/eV/f.u.) = 8.040
- raw total energy (eV/cell) = -23.63
- calculated volume (Å³/atom) = 24.34
- DFT formation energy (eV per atom) = -0.623

POSCAR file:
```
EuErGaAu
1.0
0.0000 3.6514 3.6514
3.6514 0.0000 3.6514
3.6514 3.6514 0.0000
Eu Er Ga Au
1 1 1 1
direct
0.0000 0.0000 0.0000
0.5000 0.5000 0.5000
0.2500 0.2500 0.2500
0.7500 0.7500 0.7500
```

=====

An optimized crystal structure of Pr4CdPb3, computed with PBE.

Output
- symmetry = C2/m, No. 12
- Fermi-level density of states (states/eV/f.u.) = 7.633
- raw total energy (eV/cell) = -34.98
- calculated volume (Å³/atom) = 30.32
- DFT formation energy (eV per atom) = -0.478

POSCAR file:
```
Pr4CdPb3
1.0
3.6477 -3.6501 0.0000
3.6477 3.6501 0.0000
-3.6387 0.0000 9.1097
Pr Cd Pb
4 1 3
direct
0.1230 0.6232 0.7471
0.3768 0.8770 0.2529
0.6232 0.1230 0.7471
0.8770 0.3768 0.2529
0.0000 0.0000 0.5000
0.2497 0.2497 0.9990
0.5000 0.5000 0.5000
0.7503 0.7503 0.0010
```